Entry 1:
# Ce4Bi3N4

A relaxed structure of Ce4Bi3N4 (PBE-GGA, Alexandria).

Calculated values
Its energy relative to the elements, uncorrected is -12.51 eV per formula unit.

```
data_Ce4Bi3N4
_symmetry_space_group_name_H-M 'A m m 2'
_symmetry_Int_Tables_number 38
_symmetry_space_group_name_Hall 'A 2 -2'
_cell_length_a 8.7292
_cell_length_b 3.9451
_cell_length_c 14.6891
_cell_angle_alpha 90.00
_cell_angle_beta 90.00
_cell_angle_gamma 90.00
loop_
_atom_site_label
_atom_site_type_symbol
_atom_site_fract_x
_atom_site_fract_y
_atom_site_fract_z
Ce1 Ce 0.0000 0.0000 0.0000
Ce2 Ce 0.2417 0.0000 0.6477
Ce3 Ce 0.5000 0.0000 0.0157
Bi1 Bi 0.0000 0.0000 0.2900
Bi2 Bi 0.3246 0.0000 0.3492
N1 N 0.0000 0.0000 0.5721
N2 N 0.2467 0.0000 0.0743
N3 N 0.5000 0.0000 0.5929
```

Entry 2:
# Ce6Bi2N

A relaxed structure of Ce6Bi2N (PBE-GGA, Alexandria).

Calculated values
For the distance to the lowest polymorph of the same formula, the calculation gives 1.71 eV/f.u. Its energy relative to the elements, uncorrected is -4.22 eV per formula unit.

```
data_Ce6Bi2N
_symmetry_space_group_name_H-M 'A m m 2'
_symmetry_Int_Tables_number 38
_symmetry_space_group_name_Hall 'A 2 -2'
_cell_length_a 3.9018
_cell_length_b 14.4940
_cell_length_c 8.3955
_cell_angle_alpha 90.00
_cell_angle_beta 90.00
_cell_angle_gamma 90.00
loop_
_atom_site_label
_atom_site_type_symbol
_atom_site_fract_x
_atom_site_fract_y
_atom_site_fract_z
Ce1 Ce 0.0000 0.0000 0.0000
Ce2 Ce 0.0000 0.0920 0.6126
Ce3 Ce 0.5000 0.0000 0.2799
Ce4 Ce 0.5000 0.1732 0.9194
Bi1 Bi 0.0000 0.1840 0.2362
N1 N 0.5000 0.0000 0.8024
```

Entry 3:
# Ce6Bi2N

A relaxed structure of Ce6Bi2N (PBE-GGA, Alexandria).

Calculated values
For the distance to the lowest polymorph of the same formula, the calculation gives 0.00 eV/f.u. Its energy relative to the elements, uncorrected is -5.94 eV per formula unit.

```
data_Ce6Bi2N
_symmetry_space_group_name_H-M 'I m m m'
_symmetry_Int_Tables_number 71
_symmetry_space_group_name_Hall '-I 2 2'
_cell_length_a 6.6274
_cell_length_b 6.6840
_cell_length_c 10.2856
_cell_angle_alpha 90.00
_cell_angle_beta 90.00
_cell_angle_gamma 90.00
loop_
_atom_site_label
_atom_site_type_symbol
_atom_site_fract_x
_atom_site_fract_y
_atom_site_fract_z
Ce1 Ce 0.0000 0.0000 0.2298
Ce2 Ce 0.2219 0.2456 0.5000
Bi1 Bi 0.0000 0.5000 0.2429
N1 N 0.0000 0.0000 0.0000
```

Entry 4:
# Ce5Bi5N

A relaxed structure of Ce5Bi5N (PBE-GGA, Alexandria).

Calculated values
Its energy relative to the elements, uncorrected is -6.32 eV per formula unit.

```
data_Ce5Bi5N
_symmetry_space_group_name_H-M 'C 1 2/m 1'
_symmetry_Int_Tables_number 12
_symmetry_space_group_name_Hall '-C 2y'
_cell_length_a 12.8602
_cell_length_b 6.1854
_cell_length_c 9.5150
_cell_angle_alpha 90.00
_cell_angle_beta 116.58
_cell_angle_gamma 90.00
loop_
_atom_site_label
_atom_site_type_symbol
_atom_site_fract_x
_atom_site_fract_y
_atom_site_fract_z
Ce1 Ce 0.0000 0.0000 0.0000
Ce2 Ce 0.1460 0.5000 0.2710
Ce3 Ce 0.1463 0.5000 0.8918
Bi1 Bi 0.0000 0.5000 0.5000
Bi2 Bi 0.1116 0.0000 0.7625
Bi3 Bi 0.2169 0.0000 0.3442
N1 N 0.0000 0.5000 0.0000
```

Entry 5:
# Ce2BiN2

A relaxed structure of Ce2BiN2 (PBE-GGA, Alexandria).

Calculated values
Its energy relative to the elements, uncorrected is -6.49 eV per formula unit.

```
data_Ce2BiN2
_symmetry_space_group_name_H-M 'I 4/m m m'
_symmetry_Int_Tables_number 139
_symmetry_space_group_name_Hall '-I 4 2'
_cell_length_a 3.9792
_cell_length_b 3.9792
_cell_length_c 13.8466
_cell_angle_alpha 90.00
_cell_angle_beta 90.00
_cell_angle_gamma 90.00
loop_
_atom_site_label
_atom_site_type_symbol
_atom_site_fract_x
_atom_site_fract_y
_atom_site_fract_z
Ce1 Ce 0.0000 0.0000 0.1700
Bi1 Bi 0.0000 0.0000 0.5000
N1 N 0.0000 0.5000 0.2500
```

Entry 6:
# Ce3Bi2N

A relaxed structure of Ce3Bi2N (PBE-GGA, Alexandria).

Calculated values
Its energy relative to the elements, uncorrected is -5.02 eV per formula unit.

```
data_Ce3Bi2N
_symmetry_space_group_name_H-M 'C 1 2/c 1'
_symmetry_Int_Tables_number 15
_symmetry_space_group_name_Hall '-C 2yc'
_cell_length_a 13.4202
_cell_length_b 6.6174
_cell_length_c 8.0853
_cell_angle_alpha 90.00
_cell_angle_beta 101.12
_cell_angle_gamma 90.00
loop_
_atom_site_label
_atom_site_type_symbol
_atom_site_fract_x
_atom_site_fract_y
_atom_site_fract_z
Ce1 Ce 0.0000 0.1125 0.2500
Ce2 Ce 0.1322 0.4170 0.6553
Bi1 Bi 0.1717 0.0666 0.0325
N1 N 0.0000 0.4465 0.2500
```

Entry 7:
# Ce5Bi2N2

A relaxed structure of Ce5Bi2N2 (PBE-GGA, Alexandria).

Calculated values
Its energy relative to the elements, uncorrected is -7.82 eV per formula unit.

```
data_Ce5Bi2N2
_symmetry_space_group_name_H-M 'C 1 2/m 1'
_symmetry_Int_Tables_number 12
_symmetry_space_group_name_Hall '-C 2y'
_cell_length_a 12.7953
_cell_length_b 5.1097
_cell_length_c 7.3649
_cell_angle_alpha 90.00
_cell_angle_beta 101.13
_cell_angle_gamma 90.00
loop_
_atom_site_label
_atom_site_type_symbol
_atom_site_fract_x
_atom_site_fract_y
_atom_site_fract_z
Ce1 Ce 0.0000 0.0000 0.0000
Ce2 Ce 0.1516 0.0000 0.5855
Ce3 Ce 0.1764 0.5000 0.8934
Bi1 Bi 0.0844 0.5000 0.2993
N1 N 0.1656 0.0000 0.8964
```

Entry 8:
# CeBiN

A relaxed structure of CeBiN (PBE-GGA, Alexandria).

Calculated values
For the distance to the lowest polymorph of the same formula, the calculation gives 0.92 eV/f.u. Its energy relative to the elements, uncorrected is -2.28 eV per formula unit.

```
data_CeBiN
_symmetry_space_group_name_H-M 'P -6 m 2'
_symmetry_Int_Tables_number 187
_symmetry_space_group_name_Hall 'P -6 2'
_cell_length_a 3.7804
_cell_length_b 3.7804
_cell_length_c 6.0557
_cell_angle_alpha 90.00
_cell_angle_beta 90.00
_cell_angle_gamma 120.00
loop_
_atom_site_label
_atom_site_type_symbol
_atom_site_fract_x
_atom_site_fract_y
_atom_site_fract_z
Ce1 Ce 0.0000 0.0000 0.0000
Bi1 Bi 0.6667 0.3333 0.5000
N1 N 0.3333 0.6667 0.0000
```

Entry 9:
# Ce7Bi3N2

A relaxed structure of Ce7Bi3N2 (PBE-GGA, Alexandria).

Calculated values
For the distance to the lowest polymorph of the same formula, the calculation gives 0.19 eV/f.u. Its energy relative to the elements, uncorrected is -10.87 eV per formula unit.

```
data_Ce7Bi3N2
_symmetry_space_group_name_H-M 'C m m m'
_symmetry_Int_Tables_number 65
_symmetry_space_group_name_Hall '-C 2 2'
_cell_length_a 4.9455
_cell_length_b 25.1461
_cell_length_c 4.8424
_cell_angle_alpha 90.00
_cell_angle_beta 90.00
_cell_angle_gamma 90.00
loop_
_atom_site_label
_atom_site_type_symbol
_atom_site_fract_x
_atom_site_fract_y
_atom_site_fract_z
Ce1 Ce 0.0000 0.0000 0.0000
Ce2 Ce 0.0000 0.0937 0.5000
Ce3 Ce 0.0000 0.1973 0.0000
Ce4 Ce 0.0000 0.4045 0.0000
Bi1 Bi 0.0000 0.3098 0.5000
Bi2 Bi 0.0000 0.5000 0.5000
N1 N 0.0000 0.1014 0.0000
```

Entry 10:
# Ce3BiN3

A relaxed structure of Ce3BiN3 (PBE-GGA, Alexandria).

Calculated values
For the distance to the lowest polymorph of the same formula, the calculation gives 0.80 eV/f.u. Its energy relative to the elements, uncorrected is -8.07 eV per formula unit.

```
data_Ce3BiN3
_symmetry_space_group_name_H-M 'P 63/m'
_symmetry_Int_Tables_number 176
_symmetry_space_group_name_Hall '-P 6c'
_cell_length_a 9.3177
_cell_length_b 9.3177
_cell_length_c 4.1040
_cell_angle_alpha 90.00
_cell_angle_beta 90.00
_cell_angle_gamma 120.00
loop_
_atom_site_label
_atom_site_type_symbol
_atom_site_fract_x
_atom_site_fract_y
_atom_site_fract_z
Ce1 Ce 0.0769 0.3654 0.2500
Bi1 Bi 0.3333 0.6667 0.7500
N1 N 0.0249 0.7293 0.2500
```

Entry 11:
# Ce4Bi3N2

A relaxed structure of Ce4Bi3N2 (PBE-GGA, Alexandria).

Calculated values
Its energy relative to the elements, uncorrected is -9.49 eV per formula unit.

```
data_Ce4Bi3N2
_symmetry_space_group_name_H-M 'C 1 2/m 1'
_symmetry_Int_Tables_number 12
_symmetry_space_group_name_Hall '-C 2y'
_cell_length_a 13.7578
_cell_length_b 4.2348
_cell_length_c 9.4160
_cell_angle_alpha 90.00
_cell_angle_beta 119.85
_cell_angle_gamma 90.00
loop_
_atom_site_label
_atom_site_type_symbol
_atom_site_fract_x
_atom_site_fract_y
_atom_site_fract_z
Ce1 Ce 0.1258 0.0000 0.4124
Ce2 Ce 0.1965 0.5000 0.1377
Bi1 Bi 0.0000 0.0000 0.0000
Bi2 Bi 0.1019 0.5000 0.7078
N1 N 0.1966 0.5000 0.3688
```

Entry 12:
# Ce7Bi3N2

A relaxed structure of Ce7Bi3N2 (PBE-GGA, Alexandria).

Calculated values
For the distance to the lowest polymorph of the same formula, the calculation gives 0.00 eV/f.u. Its energy relative to the elements, uncorrected is -11.06 eV per formula unit.

```
data_Ce7Bi3N2
_symmetry_space_group_name_H-M 'I 4/m m m'
_symmetry_Int_Tables_number 139
_symmetry_space_group_name_Hall '-I 4 2'
_cell_length_a 4.8738
_cell_length_b 4.8738
_cell_length_c 26.3349
_cell_angle_alpha 90.00
_cell_angle_beta 90.00
_cell_angle_gamma 90.00
loop_
_atom_site_label
_atom_site_type_symbol
_atom_site_fract_x
_atom_site_fract_y
_atom_site_fract_z
Ce1 Ce 0.0000 0.0000 0.0000
Ce2 Ce 0.0000 0.0000 0.1898
Ce3 Ce 0.0000 0.5000 0.0894
Bi1 Bi 0.0000 0.0000 0.3176
Bi2 Bi 0.0000 0.0000 0.5000
N1 N 0.0000 0.0000 0.0976
```

Entry 13:
# Ce6Bi3N

A relaxed structure of Ce6Bi3N (PBE-GGA, Alexandria).

Calculated values
Its energy relative to the elements, uncorrected is -6.52 eV per formula unit.

```
data_Ce6Bi3N
_symmetry_space_group_name_H-M 'P 1 21/c 1'
_symmetry_Int_Tables_number 14
_symmetry_space_group_name_Hall '-P 2ybc'
_cell_length_a 6.3588
_cell_length_b 8.4485
_cell_length_c 12.4946
_cell_angle_alpha 90.00
_cell_angle_beta 120.16
_cell_angle_gamma 90.00
loop_
_atom_site_label
_atom_site_type_symbol
_atom_site_fract_x
_atom_site_fract_y
_atom_site_fract_z
Ce1 Ce 0.0487 0.2272 0.4535
Ce2 Ce 0.2906 0.6490 0.4600
Ce3 Ce 0.3410 0.0382 0.2183
Bi1 Bi 0.1507 0.1074 0.7428
Bi2 Bi 0.5000 0.0000 0.5000
N1 N 0.0000 0.0000 0.0000
```

Entry 14:
# CeBiN

A relaxed structure of CeBiN (PBE-GGA, Alexandria).

Calculated values
For the distance to the lowest polymorph of the same formula, the calculation gives 1.12 eV/f.u. Its energy relative to the elements, uncorrected is -2.07 eV per formula unit.

```
data_CeBiN
_symmetry_space_group_name_H-M 'I 4 m m'
_symmetry_Int_Tables_number 107
_symmetry_space_group_name_Hall 'I 4 -2'
_cell_length_a 3.2827
_cell_length_b 3.2827
_cell_length_c 13.1302
_cell_angle_alpha 90.00
_cell_angle_beta 90.00
_cell_angle_gamma 90.00
loop_
_atom_site_label
_atom_site_type_symbol
_atom_site_fract_x
_atom_site_fract_y
_atom_site_fract_z
Ce1 Ce 0.0000 0.0000 0.0000
Bi1 Bi 0.0000 0.0000 0.2748
N1 N 0.0000 0.0000 0.5336
```

Entry 15:
# Ce3BiN4

A relaxed structure of Ce3BiN4 (PBE-GGA, Alexandria).

Calculated values
Its energy relative to the elements, uncorrected is -7.76 eV per formula unit.

```
data_Ce3BiN4
_symmetry_space_group_name_H-M 'P 4/m m m'
_symmetry_Int_Tables_number 123
_symmetry_space_group_name_Hall '-P 4 2'
_cell_length_a 3.9163
_cell_length_b 3.9163
_cell_length_c 10.3068
_cell_angle_alpha 90.00
_cell_angle_beta 90.00
_cell_angle_gamma 90.00
loop_
_atom_site_label
_atom_site_type_symbol
_atom_site_fract_x
_atom_site_fract_y
_atom_site_fract_z
Ce1 Ce 0.0000 0.0000 0.0000
Ce2 Ce 0.5000 0.5000 0.2432
Bi1 Bi 0.0000 0.0000 0.5000
N1 N 0.0000 0.5000 0.1433
```

Entry 16:
# Ce5Bi4N

A relaxed structure of Ce5Bi4N (PBE-GGA, Alexandria).

Calculated values
Its energy relative to the elements, uncorrected is -7.58 eV per formula unit.

```
data_Ce5Bi4N
_symmetry_space_group_name_H-M 'I 4'
_symmetry_Int_Tables_number 79
_symmetry_space_group_name_Hall 'I 4'
_cell_length_a 9.7658
_cell_length_b 9.7658
_cell_length_c 6.4562
_cell_angle_alpha 90.00
_cell_angle_beta 90.00
_cell_angle_gamma 90.00
loop_
_atom_site_label
_atom_site_type_symbol
_atom_site_fract_x
_atom_site_fract_y
_atom_site_fract_z
Ce1 Ce 0.0000 0.0000 0.0000
Ce2 Ce 0.0934 0.2543 0.4161
Bi1 Bi 0.0811 0.3089 0.9135
N1 N 0.0000 0.0000 0.3460
```

Entry 17:
# Ce4BiN2

A relaxed structure of Ce4BiN2 (PBE-GGA, Alexandria).

Calculated values
Its energy relative to the elements, uncorrected is -5.66 eV per formula unit.

```
data_Ce4BiN2
_symmetry_space_group_name_H-M 'F d d 2'
_symmetry_Int_Tables_number 43
_symmetry_space_group_name_Hall 'F 2 -2d'
_cell_length_a 12.5100
_cell_length_b 12.5385
_cell_length_c 8.6973
_cell_angle_alpha 90.00
_cell_angle_beta 90.00
_cell_angle_gamma 90.00
loop_
_atom_site_label
_atom_site_type_symbol
_atom_site_fract_x
_atom_site_fract_y
_atom_site_fract_z
Ce1 Ce 0.0678 0.4050 0.0000
Ce2 Ce 0.0953 0.0676 0.1970
Bi1 Bi 0.0000 0.0000 0.8485
N1 N 0.1164 0.1337 0.4735
```

Entry 18:
# Ce3BiN3

A relaxed structure of Ce3BiN3 (PBE-GGA, Alexandria).

Calculated values
For the distance to the lowest polymorph of the same formula, the calculation gives 0.00 eV/f.u. Its energy relative to the elements, uncorrected is -8.87 eV per formula unit.

```
data_Ce3BiN3
_symmetry_space_group_name_H-M 'R -3'
_symmetry_Int_Tables_number 148
_symmetry_space_group_name_Hall '-R 3'
_cell_length_a 6.8066
_cell_length_b 6.8066
_cell_length_c 23.9175
_cell_angle_alpha 90.00
_cell_angle_beta 90.00
_cell_angle_gamma 120.00
loop_
_atom_site_label
_atom_site_type_symbol
_atom_site_fract_x
_atom_site_fract_y
_atom_site_fract_z
Ce1 Ce 0.0023 0.6580 0.3918
Bi1 Bi 0.0000 0.0000 0.1663
N1 N 0.0056 0.6800 0.6285
```

Entry 19:
# CeBiN2

A relaxed structure of CeBiN2 (PBE-GGA, Alexandria).

Calculated values
Its energy relative to the elements, uncorrected is -1.71 eV per formula unit.

```
data_CeBiN2
_symmetry_space_group_name_H-M 'R -3 m'
_symmetry_Int_Tables_number 166
_symmetry_space_group_name_Hall '-R 3 2"'
_cell_length_a 3.6556
_cell_length_b 3.6556
_cell_length_c 20.4967
_cell_angle_alpha 90.00
_cell_angle_beta 90.00
_cell_angle_gamma 120.00
loop_
_atom_site_label
_atom_site_type_symbol
_atom_site_fract_x
_atom_site_fract_y
_atom_site_fract_z
Ce1 Ce 0.0000 0.0000 0.0000
Bi1 Bi 0.0000 0.0000 0.5000
N1 N 0.0000 0.0000 0.3861
```

Entry 20:
# CeBiN

A relaxed structure of CeBiN (PBE-GGA, Alexandria).

Calculated values
For the distance to the lowest polymorph of the same formula, the calculation gives 0.00 eV/f.u. Its energy relative to the elements, uncorrected is -3.20 eV per formula unit.

```
data_CeBiN
_symmetry_space_group_name_H-M 'P m n 21'
_symmetry_Int_Tables_number 31
_symmetry_space_group_name_Hall 'P 2ac -2'
_cell_length_a 4.1896
_cell_length_b 7.9036
_cell_length_c 4.1897
_cell_angle_alpha 90.00
_cell_angle_beta 90.00
_cell_angle_gamma 90.00
loop_
_atom_site_label
_atom_site_type_symbol
_atom_site_fract_x
_atom_site_fract_y
_atom_site_fract_z
Ce1 Ce 0.0000 0.1274 0.0000
Bi1 Bi 0.0000 0.5764 0.9987
N1 N 0.0000 0.0000 0.5001
```